Entry from OQMD: crystalline CuBIr at its relaxed geometry (PBE).

Crystal system   orthorhombic
Volume   129 Å³/cell
Space-group type   No. 62
Energy relative to the lowest polymorph listed for this composition   0.00 eV per formula unit

POSCAR file:
```
CuBIr
1.0
-3.0492 1.9194 4.0788
-2.8893 -0.8921 -1.7402
0.1070 -6.1259 2.9628
B Ir Cu
4 4 4
Direct
0.7178 0.2500 0.8873
0.2178 0.2500 0.6127
0.2822 0.7500 0.1127
0.7822 0.7500 0.3873
0.9874 0.7500 0.6712
0.0126 0.2500 0.3288
0.4874 0.7500 0.8288
0.5126 0.2500 0.1712
0.6311 0.2500 0.5649
0.8689 0.7500 0.0649
0.3689 0.7500 0.4351
0.1311 0.2500 0.9351
```



Entry from OQMD: crystalline HfNbNiSb at its relaxed geometry (PBE).

Crystal system   cubic
Volume   71 Å³/cell
Space-group type   No. 216
Energy relative to the lowest polymorph listed for this composition   0.00 eV per formula unit

POSCAR file:
```
HfNbNiSb
1.0
0.0000 3.2916 3.2916
3.2916 0.0000 3.2916
3.2916 3.2916 0.0000
Ni Sb Nb Hf
1 1 1 1
Direct
0.7500 0.7500 0.7500
0.0000 0.0000 0.0000
0.2500 0.2500 0.2500
0.5000 0.5000 0.5000
```



- Number 1 is which compound?
  CuBIr